Record 1
Computed, not measured: a geometry-optimized HoPu2ScSb4 structure at the PBE-GGA level of DFT.

Cell: 4.362 7.558 7.489 Å, 109.54 90.00 90.00°
Last column: magnetic moment on the atom in μB.
Element x y z (fractional)
Ho: 0.500 0.500 0.000  0.05
Pu: 0.500 0.000 0.500  -5.19
Pu: 0.000 0.500 0.500  5.25
Sc: 0.000 0.000 0.000  -0.05
Sb: 0.500 0.240 0.238  -0.02
Sb: 0.500 0.760 0.762  -0.02
Sb: 0.000 0.246 0.758  0.03
Sb: 0.000 0.754 0.242  0.03

Properties
- Formation energy without anion corrections: -0.785 eV/atom
- Calculated volume: 29.08 Å³ per atom

---

Record 2
Computed, not measured: a geometry-optimized BaAl3P structure at the PBE-GGA level of DFT.

Cell: 5.035 5.035 5.035 Å, 90.00 90.00 90.00°
Element x y z (fractional)
P: 0.000 0.000 0.000
Ba: 0.500 0.500 0.500
Al: 0.000 0.500 0.000
Al: 0.000 0.000 0.500
Al: 0.500 0.000 0.000

Properties
- ΔH_f (0 K): 0.19 eV per atom
- Polymorph energy (0 for the lowest one): 0 meV/atom
- Calculated volume: 25.52 Å³ per atom

---

Record 3
Computed, not measured: a geometry-optimized LaY2Ag6 structure at the PBE-GGA level of DFT.

Cell: 3.512 8.304 8.304 Å, 120.00 90.00 90.00°
Element x y z (fractional)
La: 0.000 0.000 0.000
Y: 0.000 0.333 0.667
Y: 0.000 0.667 0.333
Ag: 0.500 0.336 0.336
Ag: 0.500 0.664 0.664
Ag: 0.500 0.000 0.664
Ag: 0.500 0.664 0.000
Ag: 0.500 0.336 0.000
Ag: 0.500 0.000 0.336

Properties
- ΔH_f (0 K): -0.26 eV per atom
- Calculated volume: 23.30 Å³ per atom

---

Record 4
Computed, not measured: a geometry-optimized Y2CuMo structure at the PBE-GGA level of DFT.

Cell: 4.334 4.334 10.083 Å, 77.59 77.59 90.00°
Element x y z (fractional)
Y: 0.625 0.125 0.250
Y: 0.125 0.625 0.250
Y: 0.375 0.375 0.750
Y: 0.875 0.875 0.750
Mo: 0.000 0.000 0.000
Mo: 0.750 0.250 0.500
Cu: 0.500 0.500 0.000
Cu: 0.250 0.750 0.500

Properties
- ΔH_f (0 K): 0.84 eV per atom
- Polymorph energy (0 for the lowest one): 697 meV/atom
- Calculated volume: 22.56 Å³ per atom

---

Record 5
Computed, not measured: a geometry-optimized ZrV2Ir structure at the PBE-GGA level of DFT.

Cell: 4.421 4.421 4.421 Å, 60.00 60.00 60.00°
Element x y z (fractional)
Ir: 0.500 0.500 0.500
Zr: 0.000 0.000 0.000
V: 0.250 0.250 0.250
V: 0.750 0.750 0.750

Properties
- ΔH_f (0 K): -0.28 eV per atom
- Polymorph energy (0 for the lowest one): 0 meV/atom
- Calculated volume: 15.28 Å³ per atom

---

Record 6
Computed, not measured: a geometry-optimized Ac2MgCu3Si4 structure at the PBE-GGA level of DFT.

Cell: 4.320 4.320 10.370 Å, 90.00 90.00 90.00°
Element x y z (fractional)
Ac: 0.500 0.000 0.240
Ac: 0.000 0.500 0.760
Mg: 0.500 0.500 0.500
Cu: 0.000 0.000 0.500
Cu: 0.500 0.000 0.884
Cu: 0.000 0.500 0.116
Si: 0.500 0.500 0.000
Si: 0.000 0.000 0.000
Si: 0.500 0.000 0.644
Si: 0.000 0.500 0.356

Properties
- Formation energy without anion corrections: -0.439 eV/atom
- Calculated volume: 19.36 Å³ per atom

---

Record 7
Computed, not measured: a geometry-optimized Nd3MgSi2Pd9 structure at the PBE-GGA level of DFT.

Cell: 5.865 5.865 10.380 Å, 90.00 90.00 120.00°
Element x y z (fractional)
Nd: 0.333 0.667 0.618
Nd: 0.000 0.000 0.000
Nd: 0.667 0.333 0.382
Mg: 0.000 0.000 0.500
Si: 0.333 0.667 0.158
Si: 0.667 0.333 0.842
Pd: 0.839 0.161 0.696
Pd: 0.839 0.679 0.696
Pd: 0.321 0.161 0.696
Pd: 0.679 0.839 0.304
Pd: 0.161 0.321 0.304
Pd: 0.161 0.839 0.304
Pd: 0.500 0.000 0.000
Pd: 0.000 0.500 0.000
Pd: 0.500 0.500 0.000

Properties
- Formation energy without anion corrections: -0.624 eV/atom
- Calculated volume: 20.61 Å³ per atom

---

Record 8
Computed, not measured: a geometry-optimized Na4MgIn structure at the PBE-GGA level of DFT.

Cell: 5.599 6.291 10.199 Å, 72.04 90.00 89.98°
Element x y z (fractional)
Na: 0.250 0.785 0.417
Na: 0.250 0.956 0.083
Na: 0.750 0.702 0.583
Na: 0.750 0.540 0.917
Na: 0.750 0.215 0.583
Na: 0.250 0.298 0.417
Na: 0.750 0.044 0.917
Na: 0.250 0.460 0.083
Mg: 0.750 0.121 0.259
Mg: 0.250 0.879 0.741
In: 0.750 0.629 0.242
In: 0.250 0.371 0.758

Properties
- ΔH_f (0 K): 0.00 eV per atom
- Calculated volume: 28.48 Å³ per atom

---

Record 9
Computed, not measured: a geometry-optimized Mg8In3Bi structure at the PBE-GGA level of DFT.

Cell: 8.436 8.484 8.498 Å, 47.47 110.63 132.34°
Element x y z (fractional)
Mg: 0.216 0.000 0.670
Mg: 0.385 0.538 0.578
Mg: 0.846 0.462 0.116
Mg: 0.616 0.000 0.849
Mg: 0.833 0.000 0.590
Mg: 0.644 0.529 0.342
Mg: 0.115 0.471 0.871
Mg: 0.388 0.000 0.102
In: 0.758 0.519 0.714
In: 0.239 0.481 0.233
In: 0.453 0.000 0.468
Bi: 0.006 0.000 0.967

Properties
- ΔH_f (0 K): -0.02 eV per atom
- Calculated volume: 27.11 Å³ per atom

---

Record 10
Computed, not measured: a geometry-optimized K2PaPb2O6 structure at the PBE-GGA level of DFT.

Cell: 6.473 6.153 7.314 Å, 112.87 90.00 121.74°
Element x y z (fractional)
K: 0.701 0.401 0.128
K: 0.299 0.599 0.872
Pa: 0.500 0.000 0.500
Pb: 0.931 0.862 0.753
Pb: 0.069 0.138 0.247
O: 0.710 0.421 0.509
O: 0.199 0.874 0.258
O: 0.325 0.126 0.742
O: 0.801 0.126 0.742
O: 0.675 0.874 0.258
O: 0.290 0.579 0.491

Properties
- Formation energy without anion corrections: -1.919 eV/atom
- Calculated volume: 20.03 Å³ per atom

---

Record 11
Computed, not measured: a geometry-optimized NdGaSi structure at the PBE-GGA level of DFT.

Cell: 4.221 4.221 7.756 Å, 105.78 105.78 90.02°
Element x y z (fractional)
Si: 0.416 0.416 0.832
Si: 0.166 0.666 0.332
Nd: 0.000 0.999 0.999
Nd: 0.749 0.250 0.499
Ga: 0.583 0.583 0.166
Ga: 0.333 0.833 0.666

Properties
- Formation energy without anion corrections: -0.702 eV/atom
- Calculated volume: 21.26 Å³ per atom

---

Record 12
Computed, not measured: a geometry-optimized InSn2W structure at the PBE-GGA level of DFT.

Cell: 4.181 4.181 10.916 Å, 78.96 78.96 90.00°
Element x y z (fractional)
Sn: 0.631 0.125 0.250
Sn: 0.119 0.625 0.250
Sn: 0.375 0.369 0.750
Sn: 0.875 0.881 0.750
W: 0.000 0.000 0.000
W: 0.750 0.250 0.500
In: 0.500 0.500 0.000
In: 0.250 0.750 0.500

Properties
- ΔH_f (0 K): 0.79 eV per atom
- Calculated volume: 22.96 Å³ per atom

---

Record 13
Computed, not measured: a geometry-optimized PrPuSi2O8 structure at the PBE-GGA level of DFT.

Cell: 5.913 5.913 5.913 Å, 106.28 106.28 116.06°
Last column: magnetic moment on the atom in μB.
Element x y z (fractional)
Pr: 0.000 0.000 0.000  0.00
Pu: 0.250 0.750 0.500  3.59
Si: 0.750 0.250 0.500  0.01
Si: 0.500 0.500 0.000  0.01
O: 0.402 0.074 0.329  -0.07
O: 0.339 0.524 0.185  -0.07
O: 0.339 0.153 0.815  -0.07
O: 0.745 0.074 0.671  -0.07
O: 0.847 0.661 0.185  -0.07
O: 0.926 0.255 0.329  -0.07
O: 0.926 0.598 0.671  -0.07
O: 0.476 0.661 0.815  -0.07

Properties
- Formation energy without anion corrections: -2.852 eV/atom
- Calculated volume: 13.13 Å³ per atom

---

Record 14
Computed, not measured: a geometry-optimized AcPmDyCd structure at the PBE-GGA level of DFT.

Cell: 5.664 5.664 5.664 Å, 60.00 60.00 60.00°
Element x y z (fractional)
Cd: 0.250 0.250 0.250
Ac: 0.750 0.750 0.750
Pm: 0.500 0.500 0.500
Dy: 0.000 0.000 0.000

Properties
- ΔH_f (0 K): 0.06 eV per atom
- Polymorph energy (0 for the lowest one): 189 meV/atom
- Calculated volume: 32.13 Å³ per atom

---

Number 1: M_tot 0.1 μB per formula unit. Number 2: M_tot 0.0 μB per formula unit. Number 3: M_tot 0.0 μB per formula unit. Number 4: M_tot 0.0 μB per formula unit. Number 5: M_tot 0.0 μB per formula unit. Number 6: M_tot 0.0 μB per formula unit. Number 7: M_tot 0.0 μB per formula unit. Number 8: M_tot 0.0 μB per formula unit. Number 9: M_tot 0.0 μB per formula unit. Number 10: M_tot 0.2 μB per formula unit. Number 11: M_tot 0.0 μB per formula unit. Number 12: M_tot 0.0 μB per formula unit. Number 13: M_tot 3.0 μB per formula unit. Number 14: M_tot 0.0 μB per formula unit.